# La3ZnN PBE-GGA optimized geometry
data_La3ZnN
_chemical_formula_sum 'La12 Zn4 N4'
_cell_length_a 5.3837
_cell_length_b 5.3837
_cell_length_c 23.4272
_cell_angle_alpha 90.00
_cell_angle_beta 90.00
_cell_angle_gamma 90.00
_symmetry_space_group_name_H-M 'I -4 m 2'
_symmetry_Int_Tables_number 119
_symmetry_space_group_name_Hall 'I -4 -2'
loop_
_atom_site_label
_atom_site_type_symbol
_atom_site_fract_x
_atom_site_fract_y
_atom_site_fract_z
La1 La 0.0000 0.0000 0.2044
La2 La 0.0000 0.2448 0.6248
Zn1 Zn 0.0000 0.0000 0.5000
Zn2 Zn 0.0000 0.5000 0.7500
N1 N 0.0000 0.5000 0.1601
# N(E_F) (states/eV per atom): 1.2018
# Distance to the lowest polymorph of the same formula (meV per atom): 1364
# Total energy (eV/atom): -4.208